Ba2FeCoS: optimized geometry, PBE-GGA.

Cell: 5.9305 4.1608 5.9305 Å, 90.00 90.00 90.00°
With the nearest neighbours (Å) after each atom.
Fractional positions:
Fe1 0.0000 0.0000 0.0000  2 S 2.08
Ba1 0.5000 0.0000 0.0000  2 Fe 2.97
Ba2 0.0000 0.0000 0.5000  2 Fe 2.97
Co1 0.5000 0.5000 0.5000  8 Ba 3.62
S1 0.0000 0.5000 0.0000  2 Fe 2.08

Crystal system   tetragonal
Formation energy from raw total energies   0.176 eV/atom
E_tot   -4.533 eV/atom
Total moment   2.85 μB per cell